No. 1
MgTiZnRh | PBE | optimized geometry

As for the total energy: -5.003 eV/atom. The value obtained for the formation energy is -0.474 eV/atom. The symmetry is No. 99. The value obtained for the density of states at the Fermi level is 2.7 states/eV per cell.

Cell: 3.165 3.165 6.430 Å, 90.00 90.00 90.00°
Atoms (fractional coordinates):
Mg (0.500, 0.500, 0.102)
Ti (0.500, 0.500, 0.626)
Rh (0.000, 0.000, 0.824)
Zn (0.000, 0.000, 0.375)

No. 2
MgZr2Ti2Rh5 | PBE | optimized geometry

As for the total energy: -7.666 eV/atom. The value obtained for the formation energy is -0.542 eV/atom. The symmetry is No. 127. The value obtained for the density of states at the Fermi level is 15.5 states/eV per cell.

Cell: 3.612 9.666 9.666 Å, 90.00 90.00 90.00°
Atoms (fractional coordinates):
Zr (0.000, 0.824, 0.676)
Zr (0.000, 0.324, 0.824)
Zr (0.000, 0.176, 0.324)
Zr (0.000, 0.676, 0.176)
Ti (0.000, 0.624, 0.876)
Ti (0.000, 0.376, 0.124)
Ti (0.000, 0.876, 0.376)
Ti (0.000, 0.124, 0.624)
Rh (0.500, 0.500, 0.000)
Rh (0.500, 0.294, 0.566)
Rh (0.500, 0.794, 0.934)
Rh (0.500, 0.934, 0.206)
Rh (0.500, 0.000, 0.500)
Rh (0.500, 0.566, 0.706)
Rh (0.500, 0.206, 0.066)
Rh (0.500, 0.706, 0.434)
Rh (0.500, 0.434, 0.294)
Rh (0.500, 0.066, 0.794)
Mg (0.000, 0.500, 0.500)
Mg (0.000, 0.000, 0.000)

No. 3
MgTl2Rh | PBE | optimized geometry

As for the total energy: -3.377 eV/atom. The value obtained for the formation energy is 0.043 eV/atom. The symmetry is No. 139. The value obtained for the density of states at the Fermi level is 1.5 states/eV per cell.

Cell: 5.237 5.237 5.237 Å, 130.62 130.62 72.42°
Atoms (fractional coordinates):
Tl (0.000, 0.000, 0.000)
Tl (0.500, 0.500, 0.000)
Mg (0.250, 0.750, 0.500)
Rh (0.750, 0.250, 0.500)

No. 4
Mg2TlRh | PBE | optimized geometry

As for the total energy: -3.447 eV/atom. The value obtained for the formation energy is -0.220 eV/atom. The symmetry is No. 44. The value obtained for the density of states at the Fermi level is 1.1 states/eV per cell.

Cell: 5.238 5.238 5.238 Å, 134.47 133.28 67.29°
Atoms (fractional coordinates):
Mg (0.000, 0.000, 0.000)
Mg (0.747, 0.247, 0.500)
Rh (0.501, 0.501, 0.000)
Tl (0.252, 0.752, 0.500)

No. 5
MgTlRh2 | PBE | optimized geometry

As for the total energy: -4.662 eV/atom. The value obtained for the formation energy is 0.004 eV/atom. The symmetry is No. 216. The value obtained for the density of states at the Fermi level is 7.1 states/eV per cell.

Cell: 4.579 4.579 4.579 Å, 60.00 60.00 60.00°
Atoms (fractional coordinates):
Mg (0.500, 0.500, 0.500)
Rh (0.000, 0.000, 0.000)
Rh (0.750, 0.750, 0.750)
Tl (0.250, 0.250, 0.250)

No. 6
Mg3TlRh2 | PBE | optimized geometry

As for the total energy: -4.015 eV/atom. The value obtained for the formation energy is -0.373 eV/atom. The symmetry is No. 123. The value obtained for the density of states at the Fermi level is 1.2 states/eV per cell.

Cell: 3.190 3.190 10.711 Å, 90.00 90.00 90.00°
Atoms (fractional coordinates):
Rh (0.500, 0.500, 0.854)
Rh (0.500, 0.500, 0.146)
Mg (0.000, 0.000, 0.000)
Mg (0.000, 0.000, 0.279)
Mg (0.000, 0.000, 0.721)
Tl (0.500, 0.500, 0.500)

No. 7
MgTlRh2 | PBE | optimized geometry

As for the total energy: -4.806 eV/atom. The value obtained for the formation energy is -0.140 eV/atom. The symmetry is No. 8. The value obtained for the density of states at the Fermi level is 4.0 states/eV per cell.

Cell: 5.250 5.250 4.685 Å, 71.88 71.88 34.03°
Atoms (fractional coordinates):
Mg (0.264, 0.264, 0.184)
Tl (0.487, 0.487, 0.567)
Rh (0.011, 0.011, 0.058)
Rh (0.739, 0.739, 0.692)

No. 8
MgTlRh2 | PBE | optimized geometry

As for the total energy: -4.417 eV/atom. The value obtained for the formation energy is 0.249 eV/atom. The symmetry is No. 122. The value obtained for the density of states at the Fermi level is 7.2 states/eV per cell.

Cell: 4.109 4.109 9.556 Å, 77.59 77.59 90.00°
Atoms (fractional coordinates):
Rh (0.375, 0.431, 0.750)
Rh (0.875, 0.819, 0.750)
Rh (0.569, 0.125, 0.250)
Rh (0.181, 0.625, 0.250)
Tl (0.750, 0.250, 0.500)
Tl (0.000, 0.000, 0.000)
Mg (0.250, 0.750, 0.500)
Mg (0.500, 0.500, 0.000)

No. 9
MgTl2Rh | PBE | optimized geometry

As for the total energy: -3.373 eV/atom. The value obtained for the formation energy is 0.047 eV/atom. The symmetry is No. 12. The value obtained for the density of states at the Fermi level is 2.0 states/eV per cell.

Cell: 5.188 5.188 4.984 Å, 72.39 72.39 41.60°
Atoms (fractional coordinates):
Rh (0.250, 0.250, 0.250)
Mg (0.750, 0.750, 0.750)
Tl (0.516, 0.516, 0.479)
Tl (0.984, 0.984, 0.021)

No. 10
Mg7Tl2Rh2 | PBE | optimized geometry

As for the total energy: -3.010 eV/atom. The value obtained for the formation energy is -0.229 eV/atom. The symmetry is No. 71. The value obtained for the density of states at the Fermi level is 3.8 states/eV per cell.

Cell: 7.640 4.394 7.640 Å, 106.74 109.80 73.26°
Atoms (fractional coordinates):
Tl (0.735, 0.500, 0.735)
Tl (0.265, 0.500, 0.265)
Rh (0.153, 0.346, 0.847)
Rh (0.847, 0.654, 0.153)
Mg (0.000, 0.000, 0.000)
Mg (0.624, 0.877, 0.376)
Mg (0.620, 0.218, 0.056)
Mg (0.380, 0.782, 0.944)
Mg (0.056, 0.782, 0.620)
Mg (0.944, 0.218, 0.380)
Mg (0.376, 0.123, 0.624)

No. 11
MgTl2Rh | PBE | optimized geometry

As for the total energy: -3.353 eV/atom. The value obtained for the formation energy is 0.066 eV/atom. The symmetry is No. 123. The value obtained for the density of states at the Fermi level is 2.2 states/eV per cell.

Cell: 3.641 3.641 6.208 Å, 90.00 90.00 90.00°
Atoms (fractional coordinates):
Tl (0.000, 0.000, 0.987)
Tl (0.000, 0.000, 0.513)
Rh (0.500, 0.500, 0.750)
Mg (0.500, 0.500, 0.250)

No. 12
Mg2TlRh | PBE | optimized geometry

As for the total energy: -3.351 eV/atom. The value obtained for the formation energy is -0.124 eV/atom. The symmetry is No. 160. The value obtained for the density of states at the Fermi level is 1.6 states/eV per cell.

Cell: 3.213 3.213 9.239 Å, 79.99 79.99 60.00°
Atoms (fractional coordinates):
Tl (0.500, 0.500, 0.500)
Rh (0.667, 0.667, 0.000)
Mg (0.264, 0.264, 0.209)
Mg (0.070, 0.070, 0.791)